# 1
# Pu5Te4I

A geometry-optimized Pu5Te4I structure (GGA-PBE, Alexandria).

Output
Calculated density, g/cm³: 10.1
SG: R-3m, No. 166
Energy, eV per formula unit: -95.320
E_form (uncorrected), eV/atom: -0.9543

The structure in POSCAR format:
```
Pu5Te4I
1.0
2.2071 1.2743 18.1833
-2.2071 1.2743 18.1833
0.0000 -2.5485 18.1833
Pu Te I
5 4 1
direct
0.0000 0.0000 0.0000
0.2009 0.2009 0.2009
0.4002 0.4002 0.4002
0.5998 0.5998 0.5998
0.7991 0.7991 0.7991
0.1001 0.1001 0.1001
0.2999 0.2999 0.2999
0.7001 0.7001 0.7001
0.8999 0.8999 0.8999
0.5000 0.5000 0.5000
```


# 2
# Pu4Te2I3

A geometry-optimized Pu4Te2I3 structure (GGA-PBE, Alexandria).

Output
Calculated density, g/cm³: 8.6
SG: C2/m, No. 12
Energy, eV per formula unit: -76.846
E_form (uncorrected), eV/atom: -0.9538

The structure in POSCAR format:
```
Pu4Te2I3
1.0
3.8376 -2.2156 0.0000
3.8376 2.2156 0.0000
-0.0173 0.0000 18.3770
Pu Te I
4 2 3
direct
0.0007 0.0007 0.2947
0.3336 0.3336 0.1004
0.6664 0.6664 0.8996
0.9993 0.9993 0.7053
0.3328 0.3328 0.8029
0.6672 0.6672 0.1971
0.0000 0.0000 0.0000
0.3343 0.3343 0.3982
0.6657 0.6657 0.6018
```


# 3
# PuTeI2

A geometry-optimized PuTeI2 structure (GGA-PBE, Alexandria).

Output
Calculated density, g/cm³: 5.6
SG: Cm, No. 8
Energy, eV per formula unit: -23.967
E_form (uncorrected), eV/atom: -0.8484
Energy above the lowest structure with this stoichiometry, meV per atom: 0

The structure in POSCAR format:
```
PuTeI2
1.0
8.5138 -3.0088 0.0000
8.5138 3.0088 0.0000
-3.9427 0.0000 7.1890
Pu Te I
2 2 4
direct
0.0000 0.0000 0.0000
0.7030 0.7030 0.2034
0.3518 0.8518 0.8217
0.8518 0.3518 0.8217
0.1935 0.1935 0.3409
0.5091 0.5091 0.1560
0.8181 0.8181 0.6515
0.8849 0.8849 0.2183
```


# 4
# PuTlTeI

A geometry-optimized PuTlTeI structure (GGA-PBE, Alexandria).

Output
Calculated density, g/cm³: 7.7
SG: R3m, No. 160
Energy, eV per formula unit: -24.469
E_form (uncorrected), eV/atom: -0.7698

The structure in POSCAR format:
```
PuTlTeI
1.0
2.2430 1.2950 8.7475
-2.2430 1.2950 8.7475
0.0000 -2.5900 8.7475
Pu Tl Te I
1 1 1 1
direct
0.0000 0.0000 0.0000
0.8114 0.8114 0.8114
0.3998 0.3998 0.3998
0.5922 0.5922 0.5922
```


Q: What is the energy in the third record?
A: -23.967 eV per formula unit


Q: Which value of calculated density does entry 1 give?
A: 10.1 g/cm³


Q: energy of number 1 (Pu5Te4I)?
A: -95.320 eV per formula unit


Q: What is the calculated density in the first record?
A: 10.1 g/cm³